Below is PmYEr3 after structural relaxation, with properties calculated at the PBE level.

Results
- total DFT energy (no corrections) (eV for the cell shown) = -49.74
- Fermi-level density of states (states/eV per cell) = 16.4
- symmetry = P2_1/m (11)
- M_tot (μB/f.u.) = 0.0
- calculated formation energy (meV per atom) = 7

Lattice parameters (Å, degrees): 9.5887 5.6341 6.2798 90.00 109.12 90.00
Last column: nearest neighbours and their distance in Å.
Atoms (fractional coordinates):
Pm: 0.1999 0.4500 0.4335  10 Er 3.51-3.64, 2 Y 3.62-3.63
Pm: 0.8001 0.9500 0.5665  10 Er 3.51-3.64, 2 Y 3.62-3.63
Y: 0.6003 0.9500 0.9661  8 Er 3.51-3.63, 2 Y 3.52, 2 Pm 3.62-3.63
Y: 0.3997 0.4500 0.0339  8 Er 3.51-3.63, 2 Y 3.52, 2 Pm 3.62-3.63
Er: 0.1993 0.9500 0.7664  3 Pm 3.51-3.62, 3 Y 3.51-3.63, 6 Er 3.51-3.63
Er: 0.9995 0.4500 0.8358  7 Er 3.49-3.63, 4 Pm 3.51-3.64, 1 Y 3.63
Er: 0.5995 0.4500 0.6328  5 Er 3.50-3.63, 4 Y 3.51-3.63, 3 Pm 3.51-3.62
Er: 0.4005 0.9500 0.3672  5 Er 3.50-3.63, 4 Y 3.51-3.63, 3 Pm 3.51-3.62
Er: 0.0005 0.9500 0.1642  7 Er 3.49-3.63, 4 Pm 3.51-3.64, 1 Y 3.63
Er: 0.8007 0.4500 0.2336  3 Pm 3.51-3.62, 3 Y 3.51-3.63, 6 Er 3.51-3.63

***

Below is Na2MgP after structural relaxation, with properties calculated at the PBE level.

Results
- total DFT energy (no corrections) (eV for the cell shown) = -18.90
- Fermi-level density of states (states/eV per cell) = 2.5
- symmetry = I-42d (122)
- energy above the lowest structure with this stoichiometry (meV/atom) = 53
- M_tot (μB/f.u.) = 0.0
- calculated formation energy (meV per atom) = 48

Lattice parameters (Å, degrees): 4.1208 4.1208 11.0623 79.27 79.27 90.00
Last column: nearest neighbours and their distance in Å.
Atoms (fractional coordinates):
P: 0.0000 0.0000 0.0000  4 Mg 2.91, 4 Na 3.00
P: 0.7500 0.2500 0.5000  4 Mg 2.91, 4 Na 3.00
Mg: 0.5000 0.5000 0.0000  4 P 2.91, 4 Na 3.08
Mg: 0.2500 0.7500 0.5000  4 P 2.91, 4 Na 3.08
Na: 0.6536 0.1250 0.2500  2 Na 2.75, 2 P 3.00, 2 Mg 3.08
Na: 0.0964 0.6250 0.2500  2 Na 2.75, 2 P 3.00, 2 Mg 3.08
Na: 0.3750 0.3464 0.7500  2 Na 2.75, 2 P 3.00, 2 Mg 3.08
Na: 0.8750 0.9036 0.7500  2 Na 2.75, 2 P 3.00, 2 Mg 3.08